## Nd3HfAl8 (PBE)

Data for a relaxed structure of Nd3HfAl8.

POSCAR file:
```
Nd3HfAl8
1.0
-5.491 1.007 0.166
-2.735 -0.226 4.865
-1.073 9.144 3.029
Nd Hf Al
3 1 8
Direct
0.375 0.375 0.876 Nd
0.999 0.999 0.002 Nd
0.500 0.500 0.499 Nd
0.875 0.875 0.376 Hf
0.934 0.436 0.195 Al
0.443 0.939 0.680 Al
0.436 0.436 0.195 Al
0.939 0.939 0.680 Al
0.188 0.188 0.436 Al
0.687 0.687 0.939 Al
0.436 0.934 0.195 Al
0.939 0.443 0.680 Al
```

Calculated values
ΔE_f in kJ per mole of atoms: -43
Total moment in μB per formula unit: 0.00
SG: R3m

## NdHf2Al6 (PBE)

Data for a relaxed structure of NdHf2Al6.

POSCAR file:
```
NdHf2Al6
1.0
-2.804 -2.266 2.289
1.903 -7.353 -0.966
4.138 -4.289 4.806
Nd Hf Al
1 2 6
Direct
0.000 0.000 0.000 Nd
0.883 0.617 0.617 Hf
0.117 0.383 0.383 Hf
0.691 0.018 0.599 Al
0.309 0.982 0.401 Al
0.309 0.401 0.982 Al
0.500 0.681 0.319 Al
0.500 0.319 0.681 Al
0.691 0.599 0.018 Al
```

Calculated values
ΔE_f in kJ per mole of atoms: -24
Total moment in μB per formula unit: 0.00
SG: Immm

## NdHfAlZn (PBE)

Data for a relaxed structure of NdHfAlZn.

POSCAR file:
```
NdHfAlZn
1.0
4.965 0.000 0.000
2.482 4.300 0.000
2.482 1.433 4.054
Nd Zn Hf Al
1 1 1 1
Direct
0.250 0.250 0.250 Nd
0.000 0.000 0.000 Zn
0.750 0.750 0.750 Hf
0.500 0.500 0.500 Al
```

Calculated values
ΔE_f in kJ per mole of atoms: -18
Total moment in μB per formula unit: 0.00
SG: F-43m

## Hf2Al8Ni (PBE)

Data for a relaxed structure of Hf2Al8Ni.

POSCAR file:
```
Hf2Al8Ni
1.0
-0.594 0.583 4.042
3.920 -1.066 0.729
2.977 10.234 -1.038
Hf Al Ni
2 8 1
Direct
0.000 0.000 0.314 Hf
0.000 0.000 0.686 Hf
0.000 0.500 0.500 Al
0.500 0.000 0.500 Al
0.500 0.500 0.308 Al
0.500 0.500 0.692 Al
0.000 0.500 0.124 Al
0.500 0.000 0.124 Al
0.000 0.500 0.876 Al
0.500 0.000 0.876 Al
0.000 0.000 0.000 Ni
```

Calculated values
ΔE_f in kJ per mole of atoms: -39
Total moment in μB per formula unit: 0.00
SG: P4/mmm

## HfAl2Ni2 (PBE)

Data for a relaxed structure of HfAl2Ni2.

POSCAR file:
```
HfAl2Ni2
1.0
-5.010 2.373 4.555
-2.218 -6.739 1.070
1.794 -0.256 2.107
Ni Hf Al
4 2 4
Direct
0.365 0.865 0.000 Ni
0.865 0.635 0.000 Ni
0.635 0.135 0.000 Ni
0.135 0.365 0.000 Ni
0.000 0.000 0.000 Hf
0.500 0.500 0.000 Hf
0.156 0.656 0.500 Al
0.656 0.844 0.500 Al
0.844 0.344 0.500 Al
0.344 0.156 0.500 Al
```

Calculated values
E above lowest polymorph in meV per atom: 0
ΔE_f in kJ per mole of atoms: -48
Total moment in μB per formula unit: 0.00
SG: P4/mbm

## HfAl2Ni (PBE)

Data for a relaxed structure of HfAl2Ni.

POSCAR file:
```
HfAl2Ni
1.0
5.178 0.000 0.000
0.000 6.507 0.000
0.000 0.000 14.875
Hf Al Ni
8 16 8
Direct
0.455 0.250 0.142 Hf
0.955 0.750 0.358 Hf
0.545 0.750 0.858 Hf
0.045 0.250 0.642 Hf
0.738 0.250 0.389 Hf
0.238 0.750 0.111 Hf
0.262 0.750 0.611 Hf
0.762 0.250 0.889 Hf
0.954 0.052 0.215 Al
0.454 0.948 0.285 Al
0.046 0.552 0.785 Al
0.546 0.448 0.715 Al
0.046 0.948 0.785 Al
0.546 0.052 0.715 Al
0.954 0.448 0.215 Al
0.454 0.552 0.285 Al
0.740 0.549 0.034 Al
0.240 0.451 0.466 Al
0.260 0.049 0.966 Al
0.760 0.951 0.534 Al
0.260 0.451 0.966 Al
0.760 0.549 0.534 Al
0.740 0.951 0.034 Al
0.240 0.049 0.466 Al
0.213 0.250 0.327 Ni
0.713 0.750 0.173 Ni
0.787 0.750 0.673 Ni
0.287 0.250 0.827 Ni
0.990 0.250 0.073 Ni
0.490 0.750 0.427 Ni
0.010 0.750 0.927 Ni
0.510 0.250 0.573 Ni
```

Calculated values
ΔE_f in kJ per mole of atoms: -55
Total moment in μB per formula unit: 0.00
SG: Pnma

## HfAl2Ni (PBE)

Data for a relaxed structure of HfAl2Ni.

POSCAR file:
```
HfAl2Ni
1.0
-3.083 -1.282 -2.291
0.302 -3.489 -2.033
-2.661 -3.832 2.148
Ni Hf Al
1 1 2
Direct
0.500 0.500 0.500 Ni
0.000 0.000 0.000 Hf
0.785 0.785 0.644 Al
0.215 0.215 0.356 Al
```

Calculated values
ΔE_f in kJ per mole of atoms: -35
Total moment in μB per formula unit: 0.00
SG: R-3m

## Hf3Al4Ni2 (PBE)

Data for a relaxed structure of Hf3Al4Ni2.

POSCAR file:
```
Hf3Al4Ni2
1.0
-0.512 2.038 -3.783
-4.497 -0.982 2.554
4.319 6.291 2.805
Hf Al Ni
3 4 2
Direct
0.652 0.305 0.678 Hf
0.000 0.000 0.000 Hf
0.348 0.695 0.322 Hf
0.709 0.418 0.056 Al
0.291 0.582 0.944 Al
0.910 0.820 0.590 Al
0.090 0.180 0.410 Al
0.612 0.224 0.280 Ni
0.388 0.776 0.720 Ni
```

Calculated values
ΔE_f in kJ per mole of atoms: -47
Total moment in μB per formula unit: 0.00
SG: C2/m

## Hf2AlNi6 (PBE)

Data for a relaxed structure of Hf2AlNi6.

POSCAR file:
```
Hf2AlNi6
1.0
-2.136 1.358 -4.798
2.740 -3.631 -2.247
-4.639 -1.049 1.768
Hf Al Ni
2 1 6
Direct
0.340 0.667 0.333 Hf
0.660 0.333 0.667 Hf
0.500 0.000 0.000 Al
0.826 0.825 0.649 Ni
0.826 0.825 0.175 Ni
0.174 0.649 0.825 Ni
0.826 0.351 0.175 Ni
0.174 0.175 0.825 Ni
0.174 0.175 0.351 Ni
```

Calculated values
ΔE_f in kJ per mole of atoms: -47
Total moment in μB per formula unit: 0.00
SG: P-3m1

## HfAl3Ni (PBE)

Data for a relaxed structure of HfAl3Ni.

POSCAR file:
```
HfAl3Ni
1.0
3.922 0.000 0.000
0.000 7.918 0.000
0.000 0.000 10.250
Hf Al Ni
4 12 4
Direct
0.750 0.820 0.010 Hf
0.250 0.680 0.510 Hf
0.750 0.320 0.490 Hf
0.250 0.180 0.990 Hf
0.250 0.560 0.082 Al
0.750 0.440 0.918 Al
0.250 0.060 0.418 Al
0.750 0.940 0.582 Al
0.250 0.390 0.700 Al
0.750 0.110 0.200 Al
0.250 0.890 0.800 Al
0.750 0.643 0.716 Al
0.250 0.357 0.284 Al
0.750 0.143 0.784 Al
0.750 0.610 0.300 Al
0.250 0.857 0.216 Al
0.250 0.106 0.646 Ni
0.250 0.606 0.854 Ni
0.750 0.394 0.146 Ni
0.750 0.894 0.354 Ni
```

Calculated values
E above lowest polymorph in meV per atom: 0
ΔE_f in kJ per mole of atoms: -48
Total moment in μB per formula unit: 0.00
SG: Pnma

## HfAlNi4 (PBE)

Data for a relaxed structure of HfAlNi4.

POSCAR file:
```
HfAlNi4
1.0
4.517 -0.003 0.001
-0.004 4.327 -0.006
-2.256 -2.146 8.014
Hf Al Ni
2 2 8
Direct
0.766 0.750 0.000 Hf
0.234 0.250 0.000 Hf
0.500 0.000 0.500 Al
0.000 0.500 0.500 Al
0.606 0.159 0.817 Ni
0.790 0.342 0.183 Ni
0.394 0.841 0.183 Ni
0.210 0.658 0.817 Ni
0.029 0.081 0.663 Ni
0.367 0.418 0.338 Ni
0.971 0.919 0.337 Ni
0.633 0.582 0.662 Ni
```

Calculated values
ΔE_f in kJ per mole of atoms: -38
Total moment in μB per formula unit: 0.00
SG: C2/m

## Hf2Al3Ni4 (PBE)

Data for a relaxed structure of Hf2Al3Ni4.

POSCAR file:
```
Hf2Al3Ni4
1.0
-3.337 -1.293 -3.754
-2.522 -5.009 3.968
-3.227 5.291 4.629
Hf Al Ni
4 6 8
Direct
0.101 0.593 0.202 Hf
0.899 0.407 0.798 Hf
0.399 0.093 0.798 Hf
0.601 0.907 0.202 Hf
0.000 0.000 0.000 Al
0.500 0.500 0.000 Al
0.516 0.750 0.531 Al
0.984 0.250 0.469 Al
0.484 0.250 0.469 Al
0.016 0.750 0.531 Al
0.683 0.750 0.865 Ni
0.817 0.250 0.135 Ni
0.317 0.250 0.135 Ni
0.183 0.750 0.865 Ni
0.169 0.979 0.338 Ni
0.831 0.021 0.662 Ni
0.331 0.479 0.662 Ni
0.669 0.521 0.338 Ni
```

Calculated values
ΔE_f in kJ per mole of atoms: -55
Total moment in μB per formula unit: 0.00
SG: Cmce

## Hf4Al16Ni3 (PBE)

Data for a relaxed structure of Hf4Al16Ni3.

POSCAR file:
```
Hf4Al16Ni3
1.0
5.891 0.000 0.000
0.000 5.891 0.000
0.000 0.000 10.839
Hf Al Ni
4 16 3
Direct
0.500 0.000 0.811 Hf
0.000 0.500 0.189 Hf
0.000 0.500 0.811 Hf
0.500 0.000 0.189 Hf
0.000 0.000 0.784 Al
0.278 0.278 0.000 Al
0.500 0.500 0.804 Al
0.722 0.278 0.000 Al
0.500 0.500 0.196 Al
0.722 0.722 0.000 Al
0.000 0.000 0.216 Al
0.745 0.745 0.623 Al
0.745 0.255 0.377 Al
0.255 0.255 0.623 Al
0.255 0.745 0.377 Al
0.278 0.722 0.000 Al
0.745 0.745 0.377 Al
0.745 0.255 0.623 Al
0.255 0.255 0.377 Al
0.255 0.745 0.623 Al
0.000 0.500 0.500 Ni
0.000 0.000 0.000 Ni
0.500 0.000 0.500 Ni
```

Calculated values
ΔE_f in kJ per mole of atoms: -37
Total moment in μB per formula unit: 0.00
SG: P4/mmm

## Hf6AlNi (PBE)

Data for a relaxed structure of Hf6AlNi.

POSCAR file:
```
Hf6AlNi
1.0
-4.654 -1.993 3.653
-6.438 -3.238 -1.262
0.359 -5.340 -0.492
Hf Al Ni
6 1 1
Direct
0.217 0.258 0.742 Hf
0.896 0.865 0.667 Hf
0.428 0.333 0.135 Hf
0.104 0.135 0.333 Hf
0.783 0.742 0.258 Hf
0.572 0.667 0.865 Hf
0.500 0.500 0.500 Al
0.000 0.000 0.000 Ni
```

Calculated values
ΔE_f in kJ per mole of atoms: -6
Total moment in μB per formula unit: 0.00
SG: C2/m

## HfAlNi14 (PBE)

Data for a relaxed structure of HfAlNi14.

POSCAR file:
```
HfAlNi14
1.0
-1.250 -4.768 1.212
0.911 -1.454 -4.777
6.825 -1.354 1.714
Hf Al Ni
1 1 14
Direct
0.875 0.875 0.500 Hf
0.375 0.375 0.500 Al
0.875 0.875 0.000 Ni
0.375 0.375 0.000 Ni
0.875 0.375 0.500 Ni
0.875 0.375 0.000 Ni
0.375 0.875 0.500 Ni
0.375 0.875 0.000 Ni
0.621 0.129 0.240 Ni
0.621 0.129 0.760 Ni
0.129 0.621 0.240 Ni
0.129 0.621 0.760 Ni
0.621 0.621 0.240 Ni
0.621 0.621 0.760 Ni
0.129 0.129 0.240 Ni
0.129 0.129 0.760 Ni
```

Calculated values
ΔE_f in kJ per mole of atoms: -19
Total moment in μB per formula unit: 5.71
SG: P4/mmm

## Hf12AlNi6 (PBE)

Data for a relaxed structure of Hf12AlNi6.

POSCAR file:
```
Hf12AlNi6
1.0
7.703 0.000 0.000
-2.568 7.263 0.000
-2.568 -3.631 6.290
Hf Al Ni
12 1 6
Direct
0.291 0.107 0.816 Hf
0.291 0.474 0.184 Hf
0.709 0.526 0.816 Hf
0.709 0.893 0.184 Hf
0.107 0.816 0.291 Hf
0.474 0.184 0.291 Hf
0.526 0.816 0.709 Hf
0.893 0.184 0.709 Hf
0.816 0.291 0.107 Hf
0.184 0.291 0.474 Hf
0.816 0.709 0.526 Hf
0.184 0.709 0.893 Hf
0.000 0.000 0.000 Al
0.365 0.500 0.865 Ni
0.635 0.500 0.135 Ni
0.500 0.865 0.365 Ni
0.500 0.135 0.635 Ni
0.865 0.365 0.500 Ni
0.135 0.635 0.500 Ni
```

Calculated values
ΔE_f in kJ per mole of atoms: -26
Total moment in μB per formula unit: 0.00
SG: Im-3

## HfAl2Ni2 (PBE)

Data for a relaxed structure of HfAl2Ni2.

POSCAR file:
```
HfAl2Ni2
1.0
3.687 0.000 0.000
0.000 3.687 0.000
1.843 1.843 5.495
Ni Hf Al
2 1 2
Direct
0.395 0.395 0.210 Ni
0.605 0.605 0.790 Ni
0.000 0.000 0.000 Hf
0.750 0.250 0.500 Al
0.250 0.750 0.500 Al
```

Calculated values
E above lowest polymorph in meV per atom: 27
ΔE_f in kJ per mole of atoms: -45
Total moment in μB per formula unit: 0.00
SG: I4/mmm

## HfAl3Ni (PBE)

Data for a relaxed structure of HfAl3Ni.

POSCAR file:
```
HfAl3Ni
1.0
4.446 0.000 0.000
0.000 4.446 0.000
0.000 0.000 4.446
Ni Hf Al
1 1 3
Direct
0.000 0.000 0.000 Ni
0.500 0.500 0.500 Hf
0.000 0.500 0.000 Al
0.000 0.000 0.500 Al
0.500 0.000 0.000 Al
```

Calculated values
E above lowest polymorph in meV per atom: 499
ΔE_f in kJ per mole of atoms: 0
Total moment in μB per formula unit: 0.00
SG: Pm-3m

## HfAlNi6 (PBE)

Data for a relaxed structure of HfAlNi6.

POSCAR file:
```
HfAlNi6
1.0
-0.980 -5.160 -3.517
2.106 -1.667 5.722
-9.738 -0.495 3.439
Hf Al Ni
4 4 24
Direct
0.745 0.255 0.000 Hf
0.255 0.745 0.000 Hf
0.500 0.500 0.746 Hf
0.500 0.500 0.254 Hf
0.742 0.258 0.500 Al
0.258 0.742 0.500 Al
0.000 0.000 0.746 Al
0.000 0.000 0.254 Al
0.752 0.248 0.743 Ni
0.120 0.366 0.871 Ni
0.880 0.634 0.871 Ni
0.248 0.752 0.743 Ni
0.634 0.880 0.871 Ni
0.366 0.120 0.871 Ni
0.500 0.500 0.500 Ni
0.885 0.631 0.621 Ni
0.631 0.885 0.621 Ni
0.752 0.248 0.257 Ni
0.115 0.369 0.379 Ni
0.885 0.631 0.379 Ni
0.248 0.752 0.257 Ni
0.631 0.885 0.379 Ni
0.369 0.115 0.379 Ni
0.500 0.500 0.000 Ni
0.880 0.634 0.129 Ni
0.634 0.880 0.129 Ni
0.000 0.000 0.500 Ni
0.369 0.115 0.621 Ni
0.115 0.369 0.621 Ni
0.000 0.000 0.000 Ni
0.366 0.120 0.129 Ni
0.120 0.366 0.129 Ni
```

Calculated values
E above lowest polymorph in meV per atom: 0
ΔE_f in kJ per mole of atoms: -46
Total moment in μB per formula unit: 0.30
SG: Cmmm